A geometry-optimized NiPt3F structure, computed with PBE+U.

Geometry as CIF:
```
data_NiPt3F
_chemical_formula_sum 'Ni1 Pt3 F1'
_symmetry_space_group_name_H-M 'P m -3 m'
_symmetry_Int_Tables_number 221
_symmetry_space_group_name_Hall '-P 4 2 3'
_cell_length_a 4.5530
_cell_length_b 4.5530
_cell_length_c 4.5530
_cell_angle_alpha 90.00
_cell_angle_beta 90.00
_cell_angle_gamma 90.00
loop_
_atom_site_label
_atom_site_type_symbol
_atom_site_fract_x
_atom_site_fract_y
_atom_site_fract_z
_atom_site_occupancy
Ni1 Ni 0.0000 0.0000 0.0000 1
Pt1 Pt 0.0000 0.0000 0.5000 1
F1 F 0.5000 0.5000 0.5000 1
```

energy relative to the lowest polymorph listed for this composition	0.018	eV per atom
spin magnetization	2.8	μB per cell